Below is a PBEsol-optimized structure of SrZnMo2, with properties calculated at the meta-GGA SCAN level.

Summary:
Energy of formation from the pure elements in eV per atom: 1.035
Space group: I4/mmm, No. 139

a = 3.947 Å, b = 3.947 Å, c = 5.587 Å
α = 110.68°, β = 110.68°, γ = 90.00°
Atoms (fractional coordinates):
Sr 0.500 0.500 0.000
Mo 0.750 0.250 0.500
Mo 0.250 0.750 0.500
Zn 0.000 0.000 0.000